Record 1
# GGA-PBEsol CaHoPd2, optimized geometry
# Energy ... -5.5041 eV per atom
# Formation enthalpy at 0 K ... -0.75 eV/atom
data_CaHoPd2
_space_group_name_H-M_alt 'F m -3 m'
_space_group_IT_number 225
_space_group_name_Hall '-F 4 2 3'
_cell_length_a 6.8705
_cell_length_b 6.8705
_cell_length_c 6.8705
_cell_angle_alpha 90.00
_cell_angle_beta 90.00
_cell_angle_gamma 90.00
loop_
_atom_site_label
_atom_site_type_symbol
_atom_site_fract_x
_atom_site_fract_y
_atom_site_fract_z
_atom_site_occupancy
Ca1 Ca 0.0000 0.0000 0.0000 1
Ho1 Ho 0.0000 0.0000 0.5000 1
Pd1 Pd 0.2500 0.2500 0.2500 1

---

Record 2
# GGA-PBEsol CaHoRh2, optimized geometry
# Energy ... -6.4047 eV per atom
# Formation enthalpy at 0 K ... -0.56 eV/atom
data_CaHoRh2
_space_group_name_H-M_alt 'F m -3 m'
_space_group_IT_number 225
_space_group_name_Hall '-F 4 2 3'
_cell_length_a 6.6803
_cell_length_b 6.6803
_cell_length_c 6.6803
_cell_angle_alpha 90.00
_cell_angle_beta 90.00
_cell_angle_gamma 90.00
loop_
_atom_site_label
_atom_site_type_symbol
_atom_site_fract_x
_atom_site_fract_y
_atom_site_fract_z
_atom_site_occupancy
Ca1 Ca 0.0000 0.0000 0.0000 1
Ho1 Ho 0.0000 0.0000 0.5000 1
Rh1 Rh 0.2500 0.2500 0.2500 1

---

Record 3
# GGA-PBEsol CaHo2Te4, optimized geometry
# Energy ... -5.1738 eV per atom
# Formation energy without anion corrections ... -1.440 eV/atom
data_CaHo2Te4
_space_group_name_H-M_alt 'P 1 2/m 1'
_space_group_IT_number 10
_cell_length_a 7.3853
_cell_length_b 4.3135
_cell_length_c 7.6061
_cell_angle_alpha 90.00
_cell_angle_beta 107.91
_cell_angle_gamma 90.00
loop_
_space_group_symop_operation_xyz
'x,y,z'
'-x,-y,-z'
'-x,y,-z'
'x,-y,z'
loop_
_atom_site_label
_atom_site_type_symbol
_atom_site_fract_x
_atom_site_fract_y
_atom_site_fract_z
_atom_site_occupancy
Ca1 Ca 0.0000 0.0000 0.0000 1
Ho1 Ho 0.0000 0.5000 0.5000 1
Ho2 Ho 0.5000 0.0000 0.5000 1
Te1 Te 0.2480 0.0000 0.7403 1
Te2 Te 0.2618 0.5000 0.2538 1

---

Record 4
# GGA-PBEsol CaHoZn2, optimized geometry
# Energy ... -2.8356 eV per atom
# Formation enthalpy at 0 K ... -0.27 eV/atom
data_CaHoZn2
_space_group_name_H-M_alt 'F m -3 m'
_space_group_IT_number 225
_space_group_name_Hall '-F 4 2 3'
_cell_length_a 7.0584
_cell_length_b 7.0584
_cell_length_c 7.0584
_cell_angle_alpha 90.00
_cell_angle_beta 90.00
_cell_angle_gamma 90.00
loop_
_atom_site_label
_atom_site_type_symbol
_atom_site_fract_x
_atom_site_fract_y
_atom_site_fract_z
_atom_site_occupancy
Ca1 Ca 0.0000 0.0000 0.0000 1
Ho1 Ho 0.0000 0.0000 0.5000 1
Zn1 Zn 0.2500 0.2500 0.2500 1

---

Record 5
# GGA-PBEsol CaI2, optimized geometry
# Energy ... -3.5022 eV per atom
# Formation energy without anion corrections ... -1.613 eV/atom
data_CaI2
_space_group_name_H-M_alt 'P -3 m 1'
_space_group_IT_number 164
_space_group_name_Hall '-P 3 2"'
_cell_length_a 4.4424
_cell_length_b 4.4424
_cell_length_c 7.0365
_cell_angle_alpha 90.00
_cell_angle_beta 90.00
_cell_angle_gamma 120.00
loop_
_atom_site_label
_atom_site_type_symbol
_atom_site_fract_x
_atom_site_fract_y
_atom_site_fract_z
_atom_site_occupancy
Ca1 Ca 0.0000 0.0000 0.0000 1
I1 I 0.3333 0.6667 0.2502 1

---

Record 6
# GGA-PBEsol CaInI3, optimized geometry
# Energy ... -3.0436 eV per atom
# Formation energy without anion corrections ... -0.960 eV/atom
data_CaInI3
_space_group_name_H-M_alt 'P m -3 m'
_space_group_IT_number 221
_space_group_name_Hall '-P 4 2 3'
_cell_length_a 5.9773
_cell_length_b 5.9773
_cell_length_c 5.9773
_cell_angle_alpha 90.00
_cell_angle_beta 90.00
_cell_angle_gamma 90.00
loop_
_atom_site_label
_atom_site_type_symbol
_atom_site_fract_x
_atom_site_fract_y
_atom_site_fract_z
_atom_site_occupancy
Ca1 Ca 0.0000 0.0000 0.0000 1
In1 In 0.5000 0.5000 0.5000 1
I1 I 0.0000 0.0000 0.5000 1

---

Record 7
# GGA-PBEsol CaInI3, optimized geometry
# Energy ... -3.1979 eV per atom
# Formation energy without anion corrections ... -1.115 eV/atom
data_CaInI3
_space_group_name_H-M_alt 'C m c m'
_space_group_IT_number 63
_space_group_name_Hall '-C 2c 2'
_cell_length_a 4.4761
_cell_length_b 14.6962
_cell_length_c 11.3816
_cell_angle_alpha 90.00
_cell_angle_beta 90.00
_cell_angle_gamma 90.00
loop_
_atom_site_label
_atom_site_type_symbol
_atom_site_fract_x
_atom_site_fract_y
_atom_site_fract_z
_atom_site_occupancy
Ca1 Ca 0.0000 0.0000 0.0000 1
In1 In 0.0000 0.2553 0.2500 1
I1 I 0.0000 0.0767 0.7500 1
I2 I 0.0000 0.3593 0.5533 1

---

Record 8
# GGA-PBEsol Ca2InPdI, optimized geometry
# Energy ... -3.2147 eV per atom
# Formation energy without anion corrections ... -0.220 eV/atom
data_Ca2InPdI
_space_group_name_H-M_alt 'P 4/m m m'
_space_group_IT_number 123
_space_group_name_Hall '-P 4 2'
_cell_length_a 5.9269
_cell_length_b 5.9269
_cell_length_c 4.8742
_cell_angle_alpha 90.00
_cell_angle_beta 90.00
_cell_angle_gamma 90.00
loop_
_atom_site_label
_atom_site_type_symbol
_atom_site_fract_x
_atom_site_fract_y
_atom_site_fract_z
_atom_site_occupancy
Ca1 Ca 0.0000 0.5000 0.0000 1
In1 In 0.0000 0.0000 0.0000 1
Pd1 Pd 0.0000 0.0000 0.5000 1
I1 I 0.5000 0.5000 0.5000 1

---

Record 9
# GGA-PBEsol CaIrI2, optimized geometry
# Energy ... -3.7431 eV per atom
# Formation energy without anion corrections ... 0.129 eV/atom
data_CaIrI2
_space_group_name_H-M_alt 'F m -3 m'
_space_group_IT_number 225
_space_group_name_Hall '-F 4 2 3'
_cell_length_a 7.2676
_cell_length_b 7.2676
_cell_length_c 7.2676
_cell_angle_alpha 90.00
_cell_angle_beta 90.00
_cell_angle_gamma 90.00
loop_
_atom_site_label
_atom_site_type_symbol
_atom_site_fract_x
_atom_site_fract_y
_atom_site_fract_z
_atom_site_occupancy
Ca1 Ca 0.0000 0.0000 0.0000 1
Ir1 Ir 0.0000 0.0000 0.5000 1
I1 I 0.2500 0.2500 0.2500 1

---

Record 10
# GGA-PBEsol CaSbIrI2, optimized geometry
# Energy ... -4.1006 eV per atom
# Formation energy without anion corrections ... -0.091 eV/atom
data_CaSbIrI2
_space_group_name_H-M_alt 'P 4/m m m'
_space_group_IT_number 123
_space_group_name_Hall '-P 4 2'
_cell_length_a 5.5181
_cell_length_b 5.5181
_cell_length_c 5.0315
_cell_angle_alpha 90.00
_cell_angle_beta 90.00
_cell_angle_gamma 90.00
loop_
_atom_site_label
_atom_site_type_symbol
_atom_site_fract_x
_atom_site_fract_y
_atom_site_fract_z
_atom_site_occupancy
Ca1 Ca 0.0000 0.0000 0.0000 1
Sb1 Sb 0.5000 0.5000 0.0000 1
Ir1 Ir 0.5000 0.5000 0.5000 1
I1 I 0.0000 0.5000 0.5000 1

---

Record 11
# GGA-PBEsol KCaI3, optimized geometry
# Energy ... -3.1821 eV per atom
# Formation energy without anion corrections ... -1.469 eV/atom
data_KCaI3
_space_group_name_H-M_alt 'P m -3 m'
_space_group_IT_number 221
_space_group_name_Hall '-P 4 2 3'
_cell_length_a 6.0548
_cell_length_b 6.0548
_cell_length_c 6.0548
_cell_angle_alpha 90.00
_cell_angle_beta 90.00
_cell_angle_gamma 90.00
loop_
_atom_site_label
_atom_site_type_symbol
_atom_site_fract_x
_atom_site_fract_y
_atom_site_fract_z
_atom_site_occupancy
K1 K 0.0000 0.0000 0.0000 1
Ca1 Ca 0.5000 0.5000 0.5000 1
I1 I 0.0000 0.5000 0.5000 1

---

Record 12
# GGA-PBEsol KCa3I, optimized geometry
# Energy ... -1.9098 eV per atom
# Formation energy without anion corrections ... -0.050 eV/atom
data_KCa3I
_space_group_name_H-M_alt 'P m -3 m'
_space_group_IT_number 221
_space_group_name_Hall '-P 4 2 3'
_cell_length_a 6.1732
_cell_length_b 6.1732
_cell_length_c 6.1732
_cell_angle_alpha 90.00
_cell_angle_beta 90.00
_cell_angle_gamma 90.00
loop_
_atom_site_label
_atom_site_type_symbol
_atom_site_fract_x
_atom_site_fract_y
_atom_site_fract_z
_atom_site_occupancy
K1 K 0.0000 0.0000 0.0000 1
Ca1 Ca 0.0000 0.5000 0.5000 1
I1 I 0.5000 0.5000 0.5000 1

---

Record 13
# GGA-PBEsol KCaI3, optimized geometry
# Energy ... -3.2662 eV per atom
# Formation energy without anion corrections ... -1.553 eV/atom
data_KCaI3
_space_group_name_H-M_alt 'C m c m'
_space_group_IT_number 63
_space_group_name_Hall '-C 2c 2'
_cell_length_a 4.4974
_cell_length_b 14.9562
_cell_length_c 11.5466
_cell_angle_alpha 90.00
_cell_angle_beta 90.00
_cell_angle_gamma 90.00
loop_
_atom_site_label
_atom_site_type_symbol
_atom_site_fract_x
_atom_site_fract_y
_atom_site_fract_z
_atom_site_occupancy
K1 K 0.0000 0.2486 0.2500 1
Ca1 Ca 0.0000 0.5000 0.0000 1
I1 I 0.0000 0.1377 0.5558 1
I2 I 0.0000 0.4284 0.7500 1

---

Record 14
# GGA-PBEsol KCaI3, optimized geometry
# Energy ... -2.4741 eV per atom
# Formation energy without anion corrections ... -0.761 eV/atom
data_KCaI3
_space_group_name_H-M_alt 'P m -3 m'
_space_group_IT_number 221
_space_group_name_Hall '-P 4 2 3'
_cell_length_a 6.0991
_cell_length_b 6.0991
_cell_length_c 6.0991
_cell_angle_alpha 90.00
_cell_angle_beta 90.00
_cell_angle_gamma 90.00
loop_
_atom_site_label
_atom_site_type_symbol
_atom_site_fract_x
_atom_site_fract_y
_atom_site_fract_z
_atom_site_occupancy
K1 K 0.0000 0.0000 0.0000 1
Ca1 Ca 0.5000 0.5000 0.5000 1
I1 I 0.0000 0.0000 0.5000 1